--- a ---
! ScTlRe (PBE, relaxed); values from VASP
! - M_tot (μB/atom) = 0.265
! - crystal system = cubic
! - density (g/cm³) = 10.38
&SYSTEM
  ibrav = 0, nat = 3, ntyp = 3
/
ATOMIC_SPECIES
Sc 44.96 Sc.upf
Tl 204.38 Tl.upf
Re 186.21 Re.upf
CELL_PARAMETERS angstrom
0.0000 3.2662 3.2662
3.2662 0.0000 3.2662
3.2662 3.2662 0.0000
ATOMIC_POSITIONS crystal
Sc 0.0000 0.0000 0.0000
Tl 0.5000 0.5000 0.5000
Re 0.7500 0.7500 0.7500

--- b ---
! ScTlRe (PBE, relaxed); values from VASP
! - M_tot (μB/atom) = 0.000
! - crystal system = tetragonal
! - density (g/cm³) = 12.56
&SYSTEM
  ibrav = 0, nat = 3, ntyp = 3
/
ATOMIC_SPECIES
Sc 44.96 Sc.upf
Tl 204.38 Tl.upf
Re 186.21 Re.upf
CELL_PARAMETERS angstrom
-1.7379 1.7379 4.7677
1.7379 -1.7379 4.7677
1.7379 1.7379 -4.7677
ATOMIC_POSITIONS crystal
Sc 0.0000 0.0000 0.0000
Tl 0.6871 0.6871 0.0000
Re 0.3547 0.3547 0.0000

--- c ---
! ScTlRe (PBE, relaxed); values from VASP
! - M_tot (μB/atom) = 0.000
! - crystal system = trigonal
! - density (g/cm³) = 12.31
&SYSTEM
  ibrav = 0, nat = 3, ntyp = 3
/
ATOMIC_SPECIES
Sc 44.96 Sc.upf
Tl 204.38 Tl.upf
Re 186.21 Re.upf
CELL_PARAMETERS angstrom
4.8514 0.0000 0.0000
-2.4257 4.2015 0.0000
0.0000 0.0000 2.8817
ATOMIC_POSITIONS crystal
Sc 0.0000 0.0000 0.0000
Tl 0.3333 0.6667 0.5119
Re 0.6667 0.3333 0.4859

--- d ---
! ScTlRe (PBE, relaxed); values from VASP
! - M_tot (μB/atom) = 0.000
! - crystal system = orthorhombic
! - density (g/cm³) = 12.14
&SYSTEM
  ibrav = 0, nat = 3, ntyp = 3
/
ATOMIC_SPECIES
Sc 44.96 Sc.upf
Tl 204.38 Tl.upf
Re 186.21 Re.upf
CELL_PARAMETERS angstrom
0.0000 2.4454 6.9139
1.7620 0.0000 6.9139
1.7620 2.4454 0.0000
ATOMIC_POSITIONS crystal
Sc 0.0000 0.0000 0.0000
Tl 0.3118 0.3118 0.6882
Re 0.6444 0.6444 0.3556

Most stable structure, least stable structure: b, a.

--- a ---
! TmSc2Re (PBE, relaxed); values from VASP
! - M_tot (μB/atom) = 0.000
! - crystal system = tetragonal
! - density (g/cm³) = 8.15
&SYSTEM
  ibrav = 0, nat = 4, ntyp = 3
/
ATOMIC_SPECIES
Tm 168.93 Tm.upf
Sc 44.96 Sc.upf
Re 186.21 Re.upf
CELL_PARAMETERS angstrom
3.2857 0.0000 0.0000
0.0000 3.2857 0.0000
0.0000 0.0000 8.3981
ATOMIC_POSITIONS crystal
Tm 0.0000 0.0000 0.0000
Sc 0.5000 0.5000 0.3161
Sc 0.5000 0.5000 0.6839
Re 0.0000 0.0000 0.5000

--- b ---
! TmSc2Re (PBE, relaxed); values from VASP
! - M_tot (μB/atom) = 0.001
! - crystal system = trigonal
! - density (g/cm³) = 8.49
&SYSTEM
  ibrav = 0, nat = 4, ntyp = 3
/
ATOMIC_SPECIES
Tm 168.93 Tm.upf
Sc 44.96 Sc.upf
Re 186.21 Re.upf
CELL_PARAMETERS angstrom
1.5318 0.8844 10.7079
-1.5318 0.8844 10.7079
0.0000 -1.7688 10.7079
ATOMIC_POSITIONS crystal
Tm 0.0000 0.0000 0.0000
Sc 0.4206 0.4206 0.4206
Sc 0.5794 0.5794 0.5794
Re 0.5000 0.5000 0.5000

Most stable structure, least stable structure: a, b.

--- a ---
! ScVRe3 (PBE, relaxed); values from VASP
! - M_tot (μB/atom) = 0.293
! - crystal system = cubic
! - density (g/cm³) = 11.55
&SYSTEM
  ibrav = 0, nat = 5, ntyp = 3
/
ATOMIC_SPECIES
Sc 44.96 Sc.upf
V 50.94 V.upf
Re 186.21 Re.upf
CELL_PARAMETERS angstrom
4.5487 0.0000 0.0000
0.0000 4.5487 0.0000
0.0000 0.0000 4.5487
ATOMIC_POSITIONS crystal
Sc 0.0000 0.0000 0.0000
V 0.5000 0.5000 0.5000
Re 0.0000 0.0000 0.5000
Re 0.0000 0.5000 0.0000
Re 0.5000 0.0000 0.0000

--- b ---
! ScVRe3 (PBE, relaxed); values from VASP
! - M_tot (μB/atom) = 0.000
! - crystal system = cubic
! - density (g/cm³) = 11.73
&SYSTEM
  ibrav = 0, nat = 5, ntyp = 3
/
ATOMIC_SPECIES
Sc 44.96 Sc.upf
V 50.94 V.upf
Re 186.21 Re.upf
CELL_PARAMETERS angstrom
4.5251 0.0000 0.0000
0.0000 4.5251 0.0000
0.0000 0.0000 4.5251
ATOMIC_POSITIONS crystal
Sc 0.0000 0.0000 0.0000
V 0.5000 0.5000 0.5000
Re 0.0000 0.5000 0.5000
Re 0.5000 0.0000 0.5000
Re 0.5000 0.5000 0.0000

Most stable structure, least stable structure: b, a.

--- a ---
! ScV3Re (PBE, relaxed); values from VASP
! - M_tot (μB/atom) = 0.000
! - crystal system = cubic
! - density (g/cm³) = 8.08
&SYSTEM
  ibrav = 0, nat = 5, ntyp = 3
/
ATOMIC_SPECIES
Sc 44.96 Sc.upf
V 50.94 V.upf
Re 186.21 Re.upf
CELL_PARAMETERS angstrom
4.2901 0.0000 0.0000
0.0000 4.2901 0.0000
0.0000 0.0000 4.2901
ATOMIC_POSITIONS crystal
Sc 0.0000 0.0000 0.0000
V 0.0000 0.0000 0.5000
V 0.0000 0.5000 0.0000
V 0.5000 0.0000 0.0000
Re 0.5000 0.5000 0.5000

--- b ---
! ScV3Re (PBE, relaxed); values from VASP
! - M_tot (μB/atom) = 0.241
! - crystal system = cubic
! - density (g/cm³) = 6.48
&SYSTEM
  ibrav = 0, nat = 5, ntyp = 3
/
ATOMIC_SPECIES
Sc 44.96 Sc.upf
V 50.94 V.upf
Re 186.21 Re.upf
CELL_PARAMETERS angstrom
4.6174 0.0000 0.0000
0.0000 4.6174 0.0000
0.0000 0.0000 4.6174
ATOMIC_POSITIONS crystal
Sc 0.0000 0.0000 0.0000
V 0.0000 0.5000 0.5000
V 0.5000 0.0000 0.5000
V 0.5000 0.5000 0.0000
Re 0.5000 0.5000 0.5000

Most stable structure, least stable structure: b, a.

--- a ---
! Sc2VRe (PBE, relaxed); values from VASP
! - M_tot (μB/atom) = 0.406
! - crystal system = trigonal
! - density (g/cm³) = 7.26
&SYSTEM
  ibrav = 0, nat = 4, ntyp = 3
/
ATOMIC_SPECIES
Sc 44.96 Sc.upf
V 50.94 V.upf
Re 186.21 Re.upf
CELL_PARAMETERS angstrom
1.4943 0.8627 9.6728
-1.4943 0.8627 9.6728
0.0000 -1.7255 9.6728
ATOMIC_POSITIONS crystal
Sc 0.0924 0.0924 0.0924
Sc 0.9076 0.9076 0.9076
V 0.0000 0.0000 0.0000
Re 0.5000 0.5000 0.5000

--- b ---
! Sc2VRe (PBE, relaxed); values from VASP
! - M_tot (μB/atom) = 0.925
! - crystal system = cubic
! - density (g/cm³) = 7.54
&SYSTEM
  ibrav = 0, nat = 4, ntyp = 3
/
ATOMIC_SPECIES
Sc 44.96 Sc.upf
V 50.94 V.upf
Re 186.21 Re.upf
CELL_PARAMETERS angstrom
0.0000 3.3019 3.3019
3.3019 0.0000 3.3019
3.3019 3.3019 0.0000
ATOMIC_POSITIONS crystal
Sc 0.2500 0.2500 0.2500
Sc 0.7500 0.7500 0.7500
V 0.0000 0.0000 0.0000
Re 0.5000 0.5000 0.5000

--- c ---
! Sc2VRe (PBE, relaxed); values from VASP
! - M_tot (μB/atom) = 0.614
! - crystal system = tetragonal
! - density (g/cm³) = 7.23
&SYSTEM
  ibrav = 0, nat = 8, ntyp = 3
/
ATOMIC_SPECIES
Sc 44.96 Sc.upf
V 50.94 V.upf
Re 186.21 Re.upf
CELL_PARAMETERS angstrom
-3.6858 3.6858 2.7650
3.6858 -3.6858 2.7650
3.6858 3.6858 -2.7650
ATOMIC_POSITIONS crystal
Sc 0.1203 0.6250 0.9953
Sc 0.3750 0.3703 0.4953
Sc 0.6297 0.1250 0.0047
Sc 0.8750 0.8797 0.5047
V 0.2500 0.7500 0.5000
V 0.5000 0.5000 0.0000
Re 0.0000 0.0000 0.0000
Re 0.7500 0.2500 0.5000

Most stable structure, least stable structure: b, c.

--- a ---
! Sc2VRe2 (PBE, relaxed); values from VASP
! - M_tot (μB/atom) = 0.000
! - crystal system = tetragonal
! - density (g/cm³) = 9.27
&SYSTEM
  ibrav = 0, nat = 10, ntyp = 3
/
ATOMIC_SPECIES
Sc 44.96 Sc.upf
V 50.94 V.upf
Re 186.21 Re.upf
CELL_PARAMETERS angstrom
6.3831 0.0000 0.0000
0.0000 6.3831 0.0000
0.0000 0.0000 4.5148
ATOMIC_POSITIONS crystal
Sc 0.1735 0.3265 0.0000
Sc 0.3265 0.8265 0.0000
Sc 0.6735 0.1735 0.0000
Sc 0.8265 0.6735 0.0000
V 0.0000 0.0000 0.5000
V 0.5000 0.5000 0.5000
Re 0.1371 0.6371 0.5000
Re 0.3629 0.1371 0.5000
Re 0.6371 0.8629 0.5000
Re 0.8629 0.3629 0.5000

--- b ---
! Sc2VRe2 (PBE, relaxed); values from VASP
! - M_tot (μB/atom) = 0.187
! - crystal system = tetragonal
! - density (g/cm³) = 8.96
&SYSTEM
  ibrav = 0, nat = 5, ntyp = 3
/
ATOMIC_SPECIES
Sc 44.96 Sc.upf
V 50.94 V.upf
Re 186.21 Re.upf
CELL_PARAMETERS angstrom
-1.9418 1.9418 6.3044
1.9418 -1.9418 6.3044
1.9418 1.9418 -6.3044
ATOMIC_POSITIONS crystal
Sc 0.2500 0.7500 0.5000
Sc 0.7500 0.2500 0.5000
V 0.0000 0.0000 0.0000
Re 0.4070 0.4070 0.0000
Re 0.5930 0.5930 0.0000

Most stable structure, least stable structure: a, b.

--- a ---
! YScRe (PBE, relaxed); values from VASP
! - M_tot (μB/atom) = 0.000
! - crystal system = tetragonal
! - density (g/cm³) = 7.81
&SYSTEM
  ibrav = 0, nat = 3, ntyp = 3
/
ATOMIC_SPECIES
Y 88.91 Y.upf
Sc 44.96 Sc.upf
Re 186.21 Re.upf
CELL_PARAMETERS angstrom
-1.6973 1.6973 5.9041
1.6973 -1.6973 5.9041
1.6973 1.6973 -5.9041
ATOMIC_POSITIONS crystal
Y 0.0000 0.0000 0.0000
Sc 0.7332 0.7332 0.0000
Re 0.3530 0.3530 0.0000

--- b ---
! YScRe (PBE, relaxed); values from VASP
! - M_tot (μB/atom) = 0.000
! - crystal system = orthorhombic
! - density (g/cm³) = 8.61
&SYSTEM
  ibrav = 0, nat = 3, ntyp = 3
/
ATOMIC_SPECIES
Y 88.91 Y.upf
Sc 44.96 Sc.upf
Re 186.21 Re.upf
CELL_PARAMETERS angstrom
-1.4798 2.4630 4.2354
1.4798 -2.4630 4.2354
1.4798 2.4630 -4.2354
ATOMIC_POSITIONS crystal
Y 0.0000 0.0000 0.0000
Sc 0.3328 0.3328 0.0000
Re 0.6621 0.6621 0.0000

Most stable structure, least stable structure: a, b.

--- a ---
! YScRe (PBE, relaxed); values from VASP
! - M_tot (μB/atom) = 0.000
! - crystal system = monoclinic
! - density (g/cm³) = 8.02
&SYSTEM
  ibrav = 0, nat = 12, ntyp = 3
/
ATOMIC_SPECIES
Y 88.91 Y.upf
Sc 44.96 Sc.upf
Re 186.21 Re.upf
CELL_PARAMETERS angstrom
3.0455 -5.1277 0.0000
3.0455 5.1277 0.0000
-0.1554 0.0000 8.4838
ATOMIC_POSITIONS crystal
Y 0.0668 0.2861 0.4066
Y 0.2861 0.0668 0.9066
Y 0.7139 0.9332 0.0934
Y 0.9332 0.7139 0.5934
Sc 0.1719 0.8281 0.2500
Sc 0.3980 0.6020 0.7500
Sc 0.6020 0.3980 0.2500
Sc 0.8281 0.1719 0.7500
Re 0.1734 0.4706 0.0568
Re 0.4706 0.1734 0.5568
Re 0.5294 0.8266 0.4432
Re 0.8266 0.5294 0.9432

--- b ---
! YScRe (PBE, relaxed); values from VASP
! - M_tot (μB/atom) = 0.000
! - crystal system = trigonal
! - density (g/cm³) = 8.43
&SYSTEM
  ibrav = 0, nat = 3, ntyp = 3
/
ATOMIC_SPECIES
Y 88.91 Y.upf
Sc 44.96 Sc.upf
Re 186.21 Re.upf
CELL_PARAMETERS angstrom
4.7705 0.0000 0.0000
-2.3852 4.1313 0.0000
0.0000 0.0000 3.1972
ATOMIC_POSITIONS crystal
Y 0.0000 0.0000 0.0000
Sc 0.3333 0.6667 0.5630
Re 0.6667 0.3333 0.4013

Most stable structure, least stable structure: a, b.